(1)
## Sm3Al8Cu3 (GGA-PBE)

Data for crystalline Sm3Al8Cu3 at its relaxed geometry.

a = 4.3448 Å, b = 8.1939 Å, c = 8.1939 Å
α = 73.71°, β = 74.63°, γ = 74.63°
With the nearest neighbours (Å) after each atom.
Sites, in units of the cell vectors:
Al1 0.8396 0.5234 0.7973  1 Cu 2.50, 3 Al 2.68-2.69
Al2 0.6199 0.0925 0.6676  3 Cu 2.56-2.63, 3 Al 2.68-2.82
Al3 0.1604 0.4766 0.2027  1 Cu 2.50, 3 Al 2.68-2.69
Al4 0.3801 0.3324 0.9075  3 Cu 2.56-2.63, 3 Al 2.68-2.82
Al5 0.8396 0.7973 0.5234  1 Cu 2.50, 3 Al 2.68-2.69
Al6 0.6199 0.6676 0.0925  3 Cu 2.56-2.63, 3 Al 2.68-2.82
Al7 0.1604 0.2027 0.4766  1 Cu 2.50, 3 Al 2.68-2.69
Al8 0.3801 0.9075 0.3324  3 Cu 2.56-2.63, 3 Al 2.68-2.82
Cu1 0.5000 0.0000 0.0000  4 Al 2.56
Cu2 0.0000 0.7909 0.2091  6 Al 2.50-2.63
Cu3 0.0000 0.2091 0.7909  6 Al 2.50-2.63
Sm1 0.5000 0.5000 0.5000  12 Al 3.19-3.24
Sm2 0.1909 0.8091 0.8091  4 Cu 3.13-3.21, 8 Al 3.14-3.15
Sm3 0.8091 0.1909 0.1909  4 Cu 3.13-3.21, 8 Al 3.14-3.15

E above lowest polymorph (meV/atom): 0
Energy relative to the elements (kcal/mol of atoms): -9.415

***

(2)
## AcAu3 (GGA-PBE)

Data for crystalline AcAu3 at its relaxed geometry.

a = 4.7132 Å, b = 5.9759 Å, c = 7.4562 Å
α = 90.00°, β = 90.00°, γ = 113.23°
With the nearest neighbours (Å) after each atom.
Sites, in units of the cell vectors:
Au1 0.7054 0.4109 0.7500  6 Au 2.91-2.96, 2 Ac 3.25
Au2 0.8770 0.7541 0.4436  5 Au 2.83-2.96
Au3 0.1230 0.2459 0.9436  5 Au 2.83-2.96
Au4 0.1230 0.2459 0.5564  5 Au 2.83-2.96
Au5 0.2946 0.5891 0.2500  6 Au 2.91-2.96, 2 Ac 3.25
Au6 0.8770 0.7541 0.0564  5 Au 2.83-2.96
Ac1 0.5914 0.1829 0.2500  13 Au 3.25-3.63
Ac2 0.4086 0.8171 0.7500  13 Au 3.25-3.63

Energy relative to the elements (kcal/mol of atoms): -16.708